No. 1
A plane-wave DFT calculation with PBE-GGA was carried out for crystalline Sm5AgBi4 at its relaxed geometry.

Summary:
symmetry: No. 87
crystal system: tetragonal
DOS(E_F): 6.85 states/eV per cell
magnetization: 0.00 μB per formula unit
E_tot: -49.08 eV per cell

a b c (Å): 7.839 7.839 7.839
angles (deg): 99.58 99.58 131.85
Fractional positions:
Sm: 0.000 0.000 0.000
Sm: 0.197 0.396 0.593
Sm: 0.396 0.803 0.199
Sm: 0.604 0.197 0.801
Sm: 0.803 0.604 0.407
Ag: 0.500 0.500 0.000
Bi: 0.099 0.701 0.800
Bi: 0.299 0.099 0.399
Bi: 0.701 0.901 0.601
Bi: 0.901 0.299 0.200


No. 2
A plane-wave DFT calculation with PBE-GGA was carried out for crystalline LaLuPd2 at its relaxed geometry.

Summary:
symmetry: No. 166
distance to the lowest polymorph of the same formula: 8.2 kJ per mole of atoms
crystal system: trigonal
DOS(E_F): 2.31 states/eV per cell
magnetization: 0.00 μB per formula unit
E_tot: -22.90 eV per cell

a b c (Å): 6.922 6.922 6.922
angles (deg): 35.48 35.48 35.48
Fractional positions:
La: 0.000 0.000 0.000
Lu: 0.500 0.500 0.500
Pd: 0.240 0.240 0.240
Pd: 0.760 0.760 0.760


No. 3
A plane-wave DFT calculation with PBE-GGA was carried out for crystalline Pm8AuSe4S3 at its relaxed geometry.

Summary:
symmetry: No. 166
crystal system: trigonal
DOS(E_F): 6.96 states/eV per cell
magnetization: 0.00 μB per formula unit
E_tot: -96.13 eV per cell
raw formation energy: -28.53 eV/f.u.

a b c (Å): 8.342 8.342 8.342
angles (deg): 59.42 59.42 59.42
Fractional positions:
Pm: 0.238 0.751 0.751
Pm: 0.243 0.243 0.243
Pm: 0.249 0.249 0.762
Pm: 0.249 0.762 0.249
Pm: 0.751 0.238 0.751
Pm: 0.751 0.751 0.238
Pm: 0.757 0.757 0.757
Pm: 0.762 0.249 0.249
Au: 0.500 0.500 0.500
Se: 0.000 0.000 0.000
Se: 0.000 0.500 0.500
Se: 0.500 0.000 0.500
Se: 0.500 0.500 0.000
S: 0.000 0.000 0.500
S: 0.000 0.500 0.000
S: 0.500 0.000 0.000